Arrangement P

Sc3Si | PBE | relaxed

Summary:
Symmetry: No. 221
Density in g/cm3: 3.38
Spin magnetization in μB/f.u.: 1.30

abc: 4.309 4.309 4.307
angles: 90.00 90.00 89.97
Last column: magnetic moment on the atom in μB.
Positions (direct):
Sc  0.000  0.500  0.500  0.31
Si  0.000  0.000  0.000  -0.01
Sc  0.500  0.500  0.000  0.31
Sc  0.500  0.000  0.500  0.31

Arrangement Q

Sc3Si | PBE | relaxed

Summary:
Symmetry: No. 187
Density in g/cm3: 3.12
Spin magnetization in μB/f.u.: 0.77

abc: 3.225 3.225 9.616
angles: 90.00 90.00 120.00
Last column: magnetic moment on the atom in μB.
Positions (direct):
Si  0.667  0.333  0.750  0.01
Sc  0.000  0.000  0.970  0.05
Sc  0.667  0.333  0.250  0.33
Sc  0.000  0.000  0.530  0.05

Arrangement R

Sc3Si | PBE | relaxed

Summary:
Symmetry: No. 47
Density in g/cm3: 3.27
Spin magnetization in μB/f.u.: 0.00

abc: 3.582 3.847 6.003
angles: 90.00 90.00 90.00
Positions (direct):
Si  0.000  0.000  0.000
Sc  0.500  0.500  0.770
Sc  0.000  0.000  0.500
Sc  0.500  0.500  0.230

Arrangement S

Sc3Si | PBE | relaxed

Summary:
Symmetry: No. 71
Density in g/cm3: 3.27
Spin magnetization in μB/f.u.: 0.00

abc: 5.755 5.755 5.755
angles: 142.86 133.46 60.99
Positions (direct):
Sc  0.714  0.714  0.000
Sc  0.000  0.500  0.500
Si  0.500  0.000  0.500
Sc  0.286  0.286  0.000

Bottom line: arrangement S, by a margin of 23 meV per atom.

Arrangement P

Sc3Si | PBE | relaxed

Summary:
Symmetry: No. 86
Density in g/cm3: 3.16
Spin magnetization in μB/f.u.: 0.00

abc: 5.607 11.051 11.051
angles: 90.00 90.00 90.00
Positions (direct):
Sc  0.526  0.333  0.216
Sc  0.026  0.716  0.167
Sc  0.526  0.667  0.784
Sc  0.461  0.915  0.615
Sc  0.974  0.167  0.284
Sc  0.461  0.085  0.385
Si  0.290  0.451  0.702
Sc  0.974  0.833  0.716
Sc  0.539  0.385  0.915
Si  0.290  0.549  0.298
Si  0.210  0.951  0.202
Sc  0.961  0.115  0.585
Sc  0.284  0.860  0.960
Si  0.710  0.298  0.451
Sc  0.961  0.885  0.415
Sc  0.784  0.540  0.360
Sc  0.716  0.960  0.140
Sc  0.716  0.040  0.860
Sc  0.039  0.415  0.115
Si  0.710  0.702  0.549
Sc  0.474  0.216  0.667
Sc  0.216  0.360  0.460
Sc  0.784  0.460  0.640
Sc  0.039  0.585  0.885
Sc  0.539  0.615  0.085
Si  0.790  0.798  0.951
Si  0.790  0.202  0.049
Sc  0.216  0.640  0.540
Sc  0.474  0.784  0.333
Sc  0.284  0.140  0.040
Si  0.210  0.049  0.798
Sc  0.026  0.284  0.833

Arrangement Q

Sc3Si | PBE | relaxed

Summary:
Symmetry: No. 62
Density in g/cm3: 3.11
Spin magnetization in μB/f.u.: 0.02

abc: 5.695 7.220 8.458
angles: 90.00 90.00 90.00
Positions (direct):
Sc  0.887  0.969  0.250
Sc  0.113  0.031  0.750
Si  0.564  0.883  0.750
Sc  0.844  0.674  0.553
Sc  0.656  0.174  0.947
Sc  0.656  0.174  0.553
Sc  0.344  0.826  0.447
Si  0.936  0.383  0.750
Sc  0.613  0.469  0.250
Sc  0.844  0.674  0.947
Sc  0.156  0.326  0.053
Sc  0.344  0.826  0.053
Si  0.064  0.617  0.250
Si  0.436  0.117  0.250
Sc  0.387  0.531  0.750
Sc  0.156  0.326  0.447

Bottom line: arrangement P, by a margin of 20 meV per atom.

Arrangement P

Sc3Si | PBE | relaxed

Summary:
Symmetry: No. 25
Density in g/cm3: 3.30
Spin magnetization in μB/f.u.: 0.00

abc: 3.220 4.684 5.442
angles: 90.00 90.00 90.00
Positions (direct):
Sc  0.500  0.500  0.848
Sc  0.500  0.000  0.476
Si  0.000  0.500  0.324
Sc  0.000  0.000  0.019

Arrangement Q

Sc3Si | PBE | relaxed

Summary:
Symmetry: No. 166
Density in g/cm3: 3.30
Spin magnetization in μB/f.u.: 0.00

abc: 5.665 5.665 5.665
angles: 116.86 116.86 116.86
Positions (direct):
Sc  0.000  0.500  0.500
Sc  0.000  0.000  0.000
Si  0.500  0.000  0.500
Sc  0.500  0.500  0.000

Bottom line: arrangement P, by a margin of 51 meV per atom.

Arrangement P

Sc3Si | PBE | relaxed

Summary:
Symmetry: No. 166
Density in g/cm3: 3.06
Spin magnetization in μB/f.u.: 0.02

abc: 9.608 9.608 9.608
angles: 19.72 19.72 19.72
Positions (direct):
Sc  0.500  0.500  0.500
Sc  0.737  0.737  0.737
Si  0.000  0.000  0.000
Sc  0.263  0.263  0.263

Arrangement Q

Sc3Si | PBE | relaxed

Summary:
Symmetry: No. 123
Density in g/cm3: 3.21
Spin magnetization in μB/f.u.: 0.00

abc: 3.139 3.139 8.550
angles: 90.00 90.00 90.01
Positions (direct):
Sc  0.000  0.000  0.457
Sc  0.500  0.500  0.750
Si  0.500  0.500  0.250
Sc  0.000  0.000  0.043

Arrangement R

Sc3Si | PBE | relaxed

Summary:
Symmetry: No. 194
Density in g/cm3: 3.40
Spin magnetization in μB/f.u.: 1.05

abc: 6.149 6.149 4.858
angles: 90.00 90.00 120.00
Last column: magnetic moment on the atom in μB.
Positions (direct):
Si  0.333  0.667  0.250  -0.02
Sc  0.173  0.827  0.750  0.24
Sc  0.653  0.827  0.750  0.24
Sc  0.827  0.173  0.250  0.24
Sc  0.347  0.173  0.250  0.24
Sc  0.173  0.347  0.750  0.24
Si  0.667  0.333  0.750  -0.02
Sc  0.827  0.653  0.250  0.24

Bottom line: arrangement R, by a margin of 111 meV per atom.